A geometry-optimized CeLuPu structure. Source: the Alexandria database, functional PBE-GGA.

Summary:
The calculation puts the energy relative to the lowest polymorph listed for this composition at 75.3 meV/atom.

Cell lengths 3.241, 5.476, 5.476 Å; angles 120.00, 90.00, 90.00 degrees
Fractional coordinates of all 3 atoms:
Lu 0.166 0.667 0.333
Ce 0.667 0.333 0.667
Pu 0.167 0.000 0.000

---

A geometry-optimized CeLu2Pu structure. Source: the Alexandria database, functional PBE-GGA.

Cell lengths 5.074, 4.737, 4.737 Å; angles 90.00, 90.00, 90.00 degrees
Fractional coordinates of all 4 atoms:
Lu 0.000 0.000 0.500
Lu 0.000 0.500 0.000
Ce 0.500 0.000 0.000
Pu 0.500 0.500 0.500

---

A geometry-optimized CeLuPuRu structure. Source: the Alexandria database, functional PBE-GGA.

Cell lengths 5.013, 5.013, 5.013 Å; angles 60.00, 60.00, 60.00 degrees
Fractional coordinates of all 4 atoms:
Ru 0.250 0.250 0.250
Lu 0.500 0.500 0.500
Ce 0.000 0.000 0.000
Pu 0.750 0.750 0.750

---

A geometry-optimized CeSmLuPu structure. Source: the Alexandria database, functional PBE-GGA.

Cell lengths 5.573, 5.573, 5.573 Å; angles 60.00, 60.00, 60.00 degrees
Fractional coordinates of all 4 atoms:
Lu 0.250 0.250 0.250
Sm 0.750 0.750 0.750
Ce 0.500 0.500 0.500
Pu 0.000 0.000 0.000

---

A geometry-optimized CeLuPuSn structure. Source: the Alexandria database, functional PBE-GGA.

Cell lengths 5.277, 5.277, 5.277 Å; angles 60.00, 60.00, 60.00 degrees
Fractional coordinates of all 4 atoms:
Lu 0.250 0.250 0.250
Sn 0.000 0.000 0.000
Ce 0.500 0.500 0.500
Pu 0.750 0.750 0.750

---

A geometry-optimized CeTmLuPu structure. Source: the Alexandria database, functional PBE-GGA.

Cell lengths 5.474, 5.474, 5.474 Å; angles 60.00, 60.00, 60.00 degrees
Fractional coordinates of all 4 atoms:
Lu 0.000 0.000 0.000
Tm 0.250 0.250 0.250
Ce 0.500 0.500 0.500
Pu 0.750 0.750 0.750

---

A geometry-optimized CeYLuPu structure. Source: the Alexandria database, functional PBE-GGA.

Cell lengths 5.515, 5.515, 5.515 Å; angles 60.00, 60.00, 60.00 degrees
Fractional coordinates of all 4 atoms:
Y 0.250 0.250 0.250
Lu 0.000 0.000 0.000
Ce 0.750 0.750 0.750
Pu 0.500 0.500 0.500

---

A geometry-optimized CeLuPuZr structure. Source: the Alexandria database, functional PBE-GGA.

Cell lengths 5.336, 5.336, 5.336 Å; angles 60.00, 60.00, 60.00 degrees
Fractional coordinates of all 4 atoms:
Lu 0.750 0.750 0.750
Zr 0.250 0.250 0.250
Ce 0.000 0.000 0.000
Pu 0.500 0.500 0.500

---

A geometry-optimized CeLuRe4 structure. Source: the Alexandria database, functional PBE-GGA.

Cell lengths 5.431, 5.431, 5.431 Å; angles 60.00, 60.00, 60.00 degrees
Fractional coordinates of all 6 atoms:
Re 0.625 0.625 0.124
Re 0.625 0.124 0.625
Re 0.625 0.625 0.625
Re 0.124 0.625 0.625
Lu 0.000 0.000 0.000
Ce 0.250 0.250 0.250

---

A geometry-optimized CeLuRh structure. Source: the Alexandria database, functional PBE-GGA.

Summary:
The calculation puts the energy relative to the lowest polymorph listed for this composition at 52.8 meV/atom.

Cell lengths 4.803, 4.803, 4.803 Å; angles 60.00, 60.00, 60.00 degrees
Fractional coordinates of all 3 atoms:
Lu 0.000 0.000 0.000
Rh 0.250 0.250 0.250
Ce 0.500 0.500 0.500

---

A geometry-optimized CeLu3Rh structure. Source: the Alexandria database, functional PBE-GGA.

Cell lengths 5.301, 5.301, 5.301 Å; angles 90.00, 90.00, 90.00 degrees
Fractional coordinates of all 5 atoms:
Lu 0.000 0.500 0.000
Lu 0.000 0.000 0.500
Lu 0.500 0.000 0.000
Rh 0.000 0.000 0.000
Ce 0.500 0.500 0.500

---

A geometry-optimized CeLu2Rh structure. Source: the Alexandria database, functional PBE-GGA.

Summary:
The calculation puts the energy relative to the lowest polymorph listed for this composition at 160.8 meV/atom.

Cell lengths 3.627, 3.627, 9.676 Å; angles 79.20, 79.20, 60.00 degrees
Fractional coordinates of all 4 atoms:
Lu 0.273 0.273 0.181
Lu 0.727 0.727 0.819
Rh 0.000 0.000 0.000
Ce 0.500 0.500 0.500

---

| no. | final energy (eV/atom) |
| --- | --- |
| 1 | -8.081 |
| 2 | -7.212 |
| 3 | -8.494 |
| 4 | -7.105 |
| 5 | -7.370 |
| 6 | -7.143 |
| 7 | -7.634 |
| 8 | -8.076 |
| 9 | -10.151 |
| 10 | -6.394 |
| 11 | -5.610 |
| 12 | -5.877 |